Density functional theory data (GGA-PBE) for an optimized crystal structure of LiY2Ru.

a = 6.9061 Å, b = 6.9061 Å, c = 6.9061 Å
α = 90.00°, β = 90.00°, γ = 90.00°
Closest atoms and distances in Å follow each position.
Space group F-43m (No. 216)
One atom of each set of equivalent atoms:
Li: 0.0000 0.0000 0.0000 (multiplicity 4)  4 Ru 2.99, 4 Y 2.99
Y: 0.0000 0.0000 0.5000 (multiplicity 4)  4 Y 2.99, 4 Ru 2.99
Y: 0.2500 0.2500 0.7500 (multiplicity 4)  4 Li 2.99, 4 Y 2.99
Ru: 0.2500 0.2500 0.2500 (multiplicity 4)  4 Li 2.99, 4 Y 2.99

Properties
N(E_F), states/eV per cell: 17.74
Energy of formation, eV/f.u.: 0.645
M_tot, μB per cell: 0.000
Electronic total energy, eV per atom: -5.868